VASP calculation (PBE-GGA) on MgInGa after structural relaxation.

Unit cell a=5.022 b=4.381 c=8.319 alpha=72.48 beta=72.43 gamma=55.03
Fractional positions:
Mg 0.409 0.480 0.703
Mg 0.591 0.520 0.297
In 0.719 0.654 0.908
In 0.281 0.346 0.092
Ga 0.814 0.834 0.539
Ga 0.186 0.166 0.461

formation energy: -0.0313 eV/atom
space group: C2/m